1.
Compound: Li2TcSb
Source: the Alexandria database
Functional: PBE-GGA
Structure: relaxed

```
Li2TcSb
1.0
-5.058 -4.579 2.452
3.510 -0.491 6.324
-2.139 -0.537 5.301
Sb Li Tc
2 4 2
Direct
0.750 0.250 0.500
0.000 0.000 0.000
0.616 0.125 0.250
0.375 0.384 0.750
0.134 0.625 0.250
0.875 0.866 0.750
0.500 0.500 0.000
0.250 0.750 0.500
```

## Properties
Its uncorrected formation energy is 125 kJ/mol of formula units. Its symmetry is I-42d, No. 122. Its final energy is -34.04 eV per cell.

=====

2.
Compound: VSe3
Source: the Alexandria database
Functional: PBE-GGA
Structure: relaxed

```
VSe3
1.0
-1.903 -5.838 0.848
4.154 -4.576 0.478
0.920 -2.779 5.584
Se V
6 2
Direct
0.250 0.581 0.250
0.081 0.750 0.750
0.750 0.419 0.750
0.419 0.081 0.750
0.581 0.919 0.250
0.919 0.250 0.250
0.500 0.500 0.500
0.000 0.000 0.000
```

## Properties
Its uncorrected formation energy is -90 kJ/mol of formula units. Its symmetry is R-3c, No. 167. Its final energy is -41.02 eV per cell.

=====

3.
Compound: In4SnS4
Source: the Alexandria database
Functional: PBE-GGA
Structure: relaxed

```
In4SnS4
1.0
-8.022 -9.559 2.089
4.917 -6.274 -9.826
8.460 -5.418 7.693
In S Sn
32 32 8
Direct
0.971 0.568 0.230
0.770 0.029 0.432
0.270 0.029 0.068
0.029 0.432 0.770
0.029 0.068 0.270
0.932 0.770 0.471
0.272 0.228 0.772
0.228 0.728 0.772
0.432 0.730 0.529
0.932 0.730 0.971
0.068 0.270 0.029
0.529 0.432 0.730
0.770 0.471 0.932
0.471 0.932 0.770
0.230 0.529 0.068
0.568 0.230 0.971
0.432 0.770 0.029
0.728 0.772 0.228
0.772 0.272 0.228
0.971 0.932 0.730
0.730 0.529 0.432
0.228 0.772 0.272
0.068 0.230 0.529
0.730 0.971 0.932
0.772 0.228 0.728
0.471 0.568 0.270
0.272 0.272 0.272
0.230 0.971 0.568
0.270 0.471 0.568
0.728 0.728 0.728
0.568 0.270 0.471
0.529 0.068 0.230
0.577 0.244 0.673
0.923 0.756 0.173
0.577 0.423 0.923
0.173 0.577 0.256
0.423 0.756 0.327
0.256 0.327 0.077
0.077 0.244 0.827
0.244 0.827 0.077
0.244 0.673 0.577
0.423 0.923 0.577
0.077 0.077 0.077
0.077 0.256 0.327
0.423 0.577 0.077
0.673 0.577 0.244
0.756 0.173 0.923
0.327 0.423 0.756
0.744 0.827 0.423
0.923 0.923 0.923
0.577 0.256 0.173
0.827 0.423 0.744
0.923 0.744 0.673
0.327 0.077 0.256
0.744 0.673 0.923
0.923 0.577 0.423
0.256 0.173 0.577
0.077 0.423 0.577
0.173 0.923 0.756
0.673 0.923 0.744
0.827 0.077 0.244
0.577 0.077 0.423
0.423 0.744 0.827
0.756 0.327 0.423
0.900 0.100 0.600
0.400 0.100 0.900
0.600 0.900 0.100
0.900 0.400 0.100
0.600 0.600 0.600
0.100 0.600 0.900
0.400 0.400 0.400
0.100 0.900 0.400
```

## Properties
Its uncorrected formation energy is -420 kJ/mol of formula units. Its symmetry is Pa-3, No. 205. Its final energy is -286.53 eV per cell.